(1)
Entry from Alexandria: a relaxed structure of LaPaGa (PBE).

Geometry as extended XYZ:
```
3
Lattice="-1.6419 1.6419 7.1502 1.6419 -1.6419 7.1502 1.6419 1.6419 -7.1502" Properties=species:S:1:pos:R:3 pbc="T T T"
La 0.0000 0.0000 0.0000
Pa 0.0000 0.0000 4.3444
Ga 0.0000 0.0000 9.4567
```

Properties
formation energy = -0.065 eV per atom
excess energy over the best structure of this formula in the dataset = 0.000 eV/atom
N(E_F) = 5.58 states/eV/f.u.
SG = No. 107


(2)
Entry from Alexandria: a relaxed structure of LaPa2Ga9 (PBE).

Geometry as extended XYZ:
```
12
Lattice="4.3530 0.0000 0.0000 0.0000 4.3530 0.0000 0.0000 0.0000 13.0452" Properties=species:S:1:pos:R:3 pbc="T T T"
La 0.0000 0.0000 0.0000
Pa 0.0000 0.0000 4.4059
Pa 0.0000 0.0000 8.6393
Ga 0.0000 2.1765 2.2716
Ga 0.0000 2.1765 6.5226
Ga 0.0000 2.1765 10.7736
Ga 2.1765 0.0000 2.2716
Ga 2.1765 0.0000 6.5226
Ga 2.1765 0.0000 10.7736
Ga 2.1765 2.1765 0.0000
Ga 2.1765 2.1765 4.4017
Ga 2.1765 2.1765 8.6436
```

Properties
formation energy = -0.407 eV per atom
N(E_F) = 13.11 states/eV/f.u.
SG = No. 123


(3)
Entry from Alexandria: a relaxed structure of La2PaGa (PBE).

Geometry as extended XYZ:
```
4
Lattice="0.0000 3.8261 3.8261 3.8261 0.0000 3.8261 3.8261 3.8261 0.0000" Properties=species:S:1:pos:R:3 pbc="T T T"
La 1.9131 1.9131 1.9131
La 5.7392 5.7392 5.7392
Pa 0.0000 0.0000 0.0000
Ga 3.8261 3.8261 3.8261
```

Properties
formation energy = 0.163 eV per atom
excess energy over the best structure of this formula in the dataset = 0.261 eV/atom
N(E_F) = 7.52 states/eV/f.u.
SG = No. 225


(4)
Entry from Alexandria: a relaxed structure of LaPaGa2 (PBE).

Geometry as extended XYZ:
```
4
Lattice="3.3230 0.0000 0.0000 0.0000 3.3230 0.0000 0.0000 0.0000 8.5719" Properties=species:S:1:pos:R:3 pbc="T T T"
La 0.0000 0.0000 0.0000
Pa 0.0000 0.0000 4.2860
Ga 1.6615 1.6615 2.2534
Ga 1.6615 1.6615 6.3185
```

Properties
formation energy = -0.363 eV per atom
excess energy over the best structure of this formula in the dataset = 0.000 eV/atom
N(E_F) = 5.55 states/eV/f.u.
SG = No. 123


(5)
Entry from Alexandria: a relaxed structure of LaPaGa4 (PBE).

Geometry as extended XYZ:
```
6
Lattice="4.1833 0.0000 0.0000 0.0000 4.2704 0.0000 0.0000 0.0000 7.4249" Properties=species:S:1:pos:R:3 pbc="T T T"
La 0.0000 0.0000 0.0000
Pa 0.0000 2.1352 3.7125
Ga 2.0917 0.0000 2.5072
Ga 2.0917 0.0000 4.9178
Ga 2.0917 2.1352 1.2744
Ga 2.0917 2.1352 6.1505
```

Properties
formation energy = -0.498 eV per atom
excess energy over the best structure of this formula in the dataset = 0.000 eV/atom
N(E_F) = 4.79 states/eV/f.u.
SG = No. 47


(6)
Entry from Alexandria: a relaxed structure of LaPaGa2 (PBE).

Geometry as extended XYZ:
```
4
Lattice="1.6218 0.9363 10.4624 -1.6218 0.9363 10.4624 0.0000 -1.8727 10.4624" Properties=species:S:1:pos:R:3 pbc="T T T"
La 0.0000 0.0000 0.0000
Pa 0.0000 0.0000 15.6937
Ga 0.0000 0.0000 7.7709
Ga 0.0000 0.0000 23.6164
```

Properties
formation energy = -0.148 eV per atom
excess energy over the best structure of this formula in the dataset = 0.215 eV/atom
N(E_F) = 5.47 states/eV/f.u.
SG = No. 166


(7)
Entry from Alexandria: a relaxed structure of La2PaGa (PBE).

Geometry as extended XYZ:
```
4
Lattice="3.5315 0.0000 0.0000 0.0000 3.5315 0.0000 0.0000 0.0000 8.9506" Properties=species:S:1:pos:R:3 pbc="T T T"
La 0.0000 0.0000 2.0736
La 0.0000 0.0000 6.8769
Pa 1.7658 1.7658 4.4753
Ga 1.7658 1.7658 0.0000
```

Properties
formation energy = -0.099 eV per atom
excess energy over the best structure of this formula in the dataset = 0.000 eV/atom
N(E_F) = 4.65 states/eV/f.u.
SG = No. 123


(8)
Entry from Alexandria: a relaxed structure of LaPaGa2Rh5 (PBE).

Geometry as extended XYZ:
```
9
Lattice="4.6141 0.0000 0.0000 0.0000 4.6141 0.0000 0.0000 0.0000 7.7462" Properties=species:S:1:pos:R:3 pbc="T T T"
La 0.0000 0.0000 0.0000
Pa 0.0000 0.0000 3.8731
Ga 2.3070 2.3070 2.6153
Ga 2.3070 2.3070 5.1309
Rh 0.0000 2.3070 2.0033
Rh 0.0000 2.3070 5.7429
Rh 2.3070 0.0000 2.0033
Rh 2.3070 0.0000 5.7429
Rh 2.3070 2.3070 0.0000
```

Properties
formation energy = -0.573 eV per atom
N(E_F) = 6.61 states/eV/f.u.
SG = No. 123


(9)
Entry from Alexandria: a relaxed structure of LaPaZnGa (PBE).

Geometry as extended XYZ:
```
4
Lattice="0.0000 3.6446 3.6446 3.6446 0.0000 3.6446 3.6446 3.6446 0.0000" Properties=species:S:1:pos:R:3 pbc="T T T"
La 0.0000 0.0000 0.0000
Pa 3.6446 3.6446 3.6446
Zn 5.4669 5.4669 5.4669
Ga 1.8223 1.8223 1.8223
```

Properties
formation energy = -0.117 eV per atom
N(E_F) = 6.36 states/eV/f.u.
SG = No. 216


(10)
Entry from Alexandria: a relaxed structure of LaGa4Pb (PBE).

Geometry as extended XYZ:
```
6
Lattice="0.0000 4.0719 4.0719 4.0719 0.0000 4.0719 4.0719 4.0719 0.0000" Properties=species:S:1:pos:R:3 pbc="T T T"
La 0.0000 0.0000 0.0000
Ga 5.0877 3.0560 3.0560
Ga 3.0560 5.0877 3.0560
Ga 3.0560 3.0560 5.0877
Ga 5.0877 5.0877 5.0877
Pb 2.0359 2.0359 2.0359
```

Properties
formation energy = -0.260 eV per atom
N(E_F) = 4.99 states/eV/f.u.
SG = No. 216


(11)
Entry from Alexandria: a relaxed structure of La12Ga5Pb (PBE).

Geometry as extended XYZ:
```
18
Lattice="-5.0583 5.1130 5.5795 5.0583 -5.1130 5.5795 5.0583 5.1130 -5.5795" Properties=species:S:1:pos:R:3 pbc="T T T"
La 5.0583 3.1016 -2.9737
La 2.7747 1.8226 0.0000
La 7.3420 1.8226 0.0000
La 2.0765 5.1130 -1.9869
La 2.9818 0.0000 3.5926
La 0.0000 2.0114 2.6058
La 5.0583 3.1016 2.9737
La 2.0765 5.1130 1.9869
La 2.9818 0.0000 7.5664
La -2.2836 3.2903 5.5795
La 2.2836 3.2903 5.5795
La 0.0000 2.0114 8.5532
Ga 0.0000 0.0000 0.0000
Ga 5.0583 0.0000 1.3179
Ga 0.0000 3.6873 0.0000
Ga 0.0000 6.5386 0.0000
Ga 0.0000 5.1130 4.2616
Pb 0.0000 0.0000 5.5795
```

Properties
formation energy = -0.412 eV per atom
N(E_F) = 19.53 states/eV/f.u.
SG = No. 71


(12)
Entry from Alexandria: a relaxed structure of La3Ga2Pb2 (PBE).

Geometry as extended XYZ:
```
7
Lattice="5.9613 -2.2719 0.0000 5.9613 2.2719 0.0000 -3.5704 0.0000 7.6883" Properties=species:S:1:pos:R:3 pbc="T T T"
La 0.0000 0.0000 0.0000
La -0.2189 0.0000 4.9333
La 8.5711 0.0000 2.7550
Ga 3.1512 0.0000 0.6094
Ga 5.2010 0.0000 7.0789
Pb 3.0559 0.0000 5.2486
Pb 5.2963 0.0000 2.4397
```

Properties
formation energy = -0.617 eV per atom
N(E_F) = 5.81 states/eV/f.u.
SG = No. 12


- N(E_F) of number 4 (LaPaGa2)?
  5.55 states/eV/f.u.


- The highest formation energy belongs to which entry?
  number 3


- Among the records above, which one has the highest formation energy?
  number 3